a.
The following is a PBE-GGA calculation of Ho8CuPd2 after structural relaxation, from Alexandria via LeMat-Bulk.

Cell lengths 5.044, 6.719, 9.061 Å; angles 104.38, 106.16, 90.00 degrees
Fractional positions:
1 Ho 0.409 0.544 0.818
2 Ho 0.667 0.979 0.333
3 Ho 0.797 0.674 0.595
4 Ho 0.968 0.219 0.936
5 Ho 0.203 0.326 0.405
6 Ho 0.333 0.021 0.667
7 Ho 0.591 0.456 0.182
8 Ho 0.032 0.781 0.064
9 Cu 0.500 0.000 0.000
10 Pd 0.813 0.270 0.625
11 Pd 0.187 0.730 0.375

Calculated values
space-group type	No. 12

b.
The following is a PBE-GGA calculation of Ho8CuPd2 after structural relaxation, from Alexandria via LeMat-Bulk.

Cell lengths 5.875, 7.714, 7.714 Å; angles 114.62, 100.36, 100.36 degrees
Fractional positions:
1 Pd 0.491 0.699 0.313
2 Pd 0.491 0.313 0.699
3 Ho 0.584 0.342 0.088
4 Ho 0.584 0.088 0.342
5 Ho 0.170 0.368 0.368
6 Ho 0.986 0.214 0.787
7 Ho 0.986 0.787 0.214
8 Ho 0.804 0.640 0.640
9 Ho 0.371 0.917 0.662
10 Ho 0.371 0.662 0.917
11 Cu 0.159 0.004 0.004

Calculated values
space-group type	No. 8

Structures ranked by computed energy, the most stable listed first: a, b.